# CaGa2SeO6

An optimized crystal structure of CaGa2SeO6 (PBE, Alexandria via LeMat-Bulk).

a b c (Å): 10.636 9.233 6.075
angles (deg): 90.00 110.13 90.00
Space group C2/c (No. 15)
Asymmetric unit:
Ca  0.000  0.116  0.250 [4 per cell]
Ga  0.205  0.416  0.201 [8 per cell]
Se  0.000  0.252  0.750 [4 per cell]
O  0.098  0.119  0.668 [8 per cell]
O  0.121  0.243  0.075 [8 per cell]
O  0.181  0.442  0.483 [8 per cell]

Values from the calculation:
VASP energy = -5.854 eV/atom